--- one ---
Material: RbNaIn2
Method: DFT, GGA-PBE
State: relaxed

Structure (POSCAR):
```
RbNaIn2
1.0
-2.281 3.865 2.262
1.288 -3.861 7.896
11.664 6.218 1.137
Rb Na In
4 4 8
Cartesian
2.798 1.955 7.855 Rb
0.866 3.199 3.781 Rb
7.874 4.267 3.440 Rb
9.806 3.023 7.514 Rb
4.288 3.285 1.502 Na
6.384 2.937 9.793 Na
1.202 -0.634 5.086 Na
9.470 6.855 6.209 Na
-0.429 0.011 7.922 In
11.101 6.210 3.373 In
4.219 4.762 4.491 In
6.453 1.459 6.805 In
8.817 8.235 3.193 In
4.613 1.730 4.486 In
6.059 4.491 6.809 In
1.855 -2.014 8.102 In
```

---

--- two ---
Material: RbNaIn2
Method: DFT, GGA-PBE
State: relaxed

Structure (POSCAR):
```
RbNaIn2
1.0
-1.507 -1.355 -3.493
3.046 -2.635 -0.292
-4.707 -5.922 4.327
Na Rb In
1 1 2
Cartesian
0.770 -1.995 -1.893 Na
-1.584 -4.956 0.271 Rb
-3.858 -4.853 3.546 In
-0.849 -1.068 0.781 In
```

---

--- three ---
Material: RbNaIn2
Method: DFT, GGA-PBE
State: relaxed

Structure (POSCAR):
```
RbNaIn2
1.0
-1.362 -5.476 1.492
-2.681 -1.060 5.075
-5.581 -1.708 0.051
Na Rb In
1 1 2
Cartesian
0.000 0.000 0.000 Na
-4.812 -4.122 3.309 Rb
-2.406 -2.061 1.655 In
-7.218 -6.183 4.964 In
```

---

Least stable = three

---

--- one ---
Material: RbNa4In
Method: DFT, GGA-PBE
State: relaxed

Structure (POSCAR):
```
RbNa4In
1.0
9.534 -0.015 0.011
0.008 6.117 1.599
-4.778 -0.526 8.080
Rb Na In
2 8 2
Cartesian
3.022 4.051 9.288 Rb
1.741 1.527 0.402 Rb
0.569 0.964 6.569 Na
5.343 1.552 2.323 Na
4.195 4.613 3.122 Na
-0.579 4.025 7.368 Na
5.672 5.363 6.402 Na
0.904 3.271 4.091 Na
-0.908 0.214 3.288 Na
3.859 2.306 5.600 Na
2.378 -0.270 4.046 In
-2.385 2.796 4.840 In
```

---

--- two ---
Material: RbNa4In
Method: DFT, GGA-PBE
State: relaxed

Structure (POSCAR):
```
RbNa4In
1.0
6.831 0.000 0.000
3.415 5.916 0.000
3.415 1.972 5.577
Na Rb In
4 1 1
Cartesian
6.831 3.944 0.653 Na
6.831 1.930 3.501 Na
8.575 4.951 3.501 Na
5.087 4.951 3.501 Na
3.415 1.972 1.394 Rb
0.000 0.000 0.000 In
```

---

Least stable = two

---

--- one ---
Material: RbNaIn3
Method: DFT, GGA-PBE
State: relaxed

Structure (POSCAR):
```
RbNaIn3
1.0
5.781 0.000 0.000
0.000 5.781 0.000
0.000 0.000 5.781
Na Rb In
1 1 3
Cartesian
0.000 0.000 0.000 Na
2.890 2.890 2.890 Rb
0.000 2.890 0.000 In
0.000 0.000 2.890 In
2.890 0.000 0.000 In
```

---

--- two ---
Material: RbNaIn3
Method: DFT, GGA-PBE
State: relaxed

Structure (POSCAR):
```
RbNaIn3
1.0
6.381 0.000 0.000
0.000 6.381 0.000
0.000 0.000 6.381
Na Rb In
1 1 3
Cartesian
3.191 3.191 3.191 Na
0.000 0.000 0.000 Rb
0.000 3.191 0.000 In
0.000 0.000 3.191 In
3.191 0.000 0.000 In
```

---

Least stable = two